<one>
This record from the Alexandria database describes an optimized crystal structure of RbFe2W. The functional is PBE-GGA.

Values from the calculation:
Spin magnetization (Bohr magnetons per cell): 0.00
Symmetry: Fm-3m
N(E_F) (states/eV per atom): 1.422

Cell: 4.505 4.505 4.505 Å, 60.00 60.00 60.00°
Atoms (fractional coordinates):
Rb 0.000 0.000 0.000
Fe 0.250 0.250 0.250
Fe 0.750 0.750 0.750
W 0.500 0.500 0.500


<two>
This record from the Alexandria database describes an optimized crystal structure of RbFe2W. The functional is PBE-GGA.

Values from the calculation:
Spin magnetization (Bohr magnetons per cell): 0.00
Symmetry: I-42d
N(E_F) (states/eV per atom): 1.708

Cell: 6.008 6.008 6.008 Å, 107.45 107.45 113.59°
Atoms (fractional coordinates):
Rb 0.000 0.000 0.000
Rb 0.750 0.250 0.500
Fe 0.200 0.125 0.575
Fe 0.375 0.800 0.925
Fe 0.550 0.625 0.425
Fe 0.875 0.450 0.075
W 0.250 0.750 0.500
W 0.500 0.500 0.000


Relative energy table, unit meV/atom: <one> 158; <two> 0


<one>
This record from the Alexandria database describes an optimized crystal structure of RbFeW2. The functional is PBE-GGA.

Values from the calculation:
Spin magnetization (Bohr magnetons per cell): 0.00
Symmetry: I4_1/amd
N(E_F) (states/eV per atom): 1.596

Cell: 8.776 8.776 8.776 Å, 145.69 145.69 49.31°
Atoms (fractional coordinates):
Rb 0.375 0.625 0.750
Rb 0.625 0.375 0.250
Fe 0.125 0.875 0.250
Fe 0.875 0.125 0.750
W 0.000 0.000 0.000
W 0.000 0.000 0.500
W 0.000 0.500 0.000
W 0.500 0.000 0.500


<two>
This record from the Alexandria database describes an optimized crystal structure of RbFeW2. The functional is PBE-GGA.

Values from the calculation:
Spin magnetization (Bohr magnetons per cell): 0.00
Symmetry: Fm-3m
N(E_F) (states/eV per atom): 0.787

Cell: 4.531 4.531 4.531 Å, 60.00 60.00 60.00°
Atoms (fractional coordinates):
Rb 0.000 0.000 0.000
Fe 0.500 0.500 0.500
W 0.250 0.250 0.250
W 0.750 0.750 0.750


Relative energy table, unit meV/atom: <one> 0; <two> 101


<one>
This record from the Alexandria database describes an optimized crystal structure of RbY3Fe. The functional is PBE-GGA.

Values from the calculation:
Spin magnetization (Bohr magnetons per cell): 0.00
Symmetry: Pm-3m
N(E_F) (states/eV per atom): 0.500

Cell: 5.455 5.455 5.455 Å, 90.00 90.00 90.00°
Atoms (fractional coordinates):
Rb 0.000 0.000 0.000
Y 0.000 0.500 0.500
Y 0.500 0.000 0.500
Y 0.500 0.500 0.000
Fe 0.500 0.500 0.500


<two>
This record from the Alexandria database describes an optimized crystal structure of RbY3Fe. The functional is PBE-GGA.

Values from the calculation:
Spin magnetization (Bohr magnetons per cell): 3.07
Symmetry: Pm-3m
N(E_F) (states/eV per atom): 1.886

Cell: 5.390 5.390 5.390 Å, 90.00 90.00 90.00°
Atoms (fractional coordinates):
Rb 0.000 0.000 0.000
Y 0.000 0.000 0.500
Y 0.000 0.500 0.000
Y 0.500 0.000 0.000
Fe 0.500 0.500 0.500


Relative energy table, unit meV/atom: <one> 0; <two> 1461


<one>
This record from the Alexandria database describes an optimized crystal structure of Rb2YFe. The functional is PBE-GGA.

Values from the calculation:
Spin magnetization (Bohr magnetons per cell): 0.92
Symmetry: Fm-3m
N(E_F) (states/eV per atom): 1.605

Cell: 5.989 5.989 5.989 Å, 60.00 60.00 60.00°
Atoms (fractional coordinates):
Rb 0.250 0.250 0.250
Rb 0.750 0.750 0.750
Y 0.000 0.000 0.000
Fe 0.500 0.500 0.500


<two>
This record from the Alexandria database describes an optimized crystal structure of Rb2YFe. The functional is PBE-GGA.

Values from the calculation:
Spin magnetization (Bohr magnetons per cell): 0.47
Symmetry: I-42d
N(E_F) (states/eV per atom): 2.384

Cell: 9.761 9.761 9.761 Å, 93.40 93.40 151.81°
Atoms (fractional coordinates):
Rb 0.375 0.217 0.342
Rb 0.783 0.125 0.158
Rb 0.875 0.033 0.658
Rb 0.967 0.625 0.842
Y 0.250 0.750 0.500
Y 0.500 0.500 0.000
Fe 0.000 0.000 0.000
Fe 0.750 0.250 0.500


Relative energy table, unit meV/atom: <one> 638; <two> 0


<one>
This record from the Alexandria database describes an optimized crystal structure of RbZnFe3. The functional is PBE-GGA.

Values from the calculation:
Spin magnetization (Bohr magnetons per cell): 9.09
Symmetry: Pm-3m
N(E_F) (states/eV per atom): 1.518

Cell: 4.800 4.800 4.800 Å, 90.00 90.00 90.00°
Atoms (fractional coordinates):
Rb 0.000 0.000 0.000
Zn 0.500 0.500 0.500
Fe 0.000 0.500 0.500
Fe 0.500 0.000 0.500
Fe 0.500 0.500 0.000


<two>
This record from the Alexandria database describes an optimized crystal structure of RbZnFe3. The functional is PBE-GGA.

Values from the calculation:
Spin magnetization (Bohr magnetons per cell): 7.37
Symmetry: Pm-3m
N(E_F) (states/eV per atom): 1.113

Cell: 4.654 4.654 4.654 Å, 90.00 90.00 90.00°
Atoms (fractional coordinates):
Rb 0.000 0.000 0.000
Zn 0.500 0.500 0.500
Fe 0.000 0.000 0.500
Fe 0.000 0.500 0.000
Fe 0.500 0.000 0.000


Relative energy table, unit meV/atom: <one> 0; <two> 1230


<one>
This record from the Alexandria database describes an optimized crystal structure of RbZn2Fe. The functional is PBE-GGA.

Values from the calculation:
Spin magnetization (Bohr magnetons per cell): 5.80
Symmetry: I4_1/amd
N(E_F) (states/eV per atom): 0.666

Cell: 9.105 9.105 9.105 Å, 145.51 145.51 49.57°
Atoms (fractional coordinates):
Rb 0.375 0.625 0.750
Rb 0.625 0.375 0.250
Zn 0.000 0.000 0.000
Zn 0.000 0.000 0.500
Zn 0.000 0.500 0.000
Zn 0.500 0.000 0.500
Fe 0.125 0.875 0.250
Fe 0.875 0.125 0.750


<two>
This record from the Alexandria database describes an optimized crystal structure of RbZn2Fe. The functional is PBE-GGA.

Values from the calculation:
Spin magnetization (Bohr magnetons per cell): 2.97
Symmetry: Fm-3m
N(E_F) (states/eV per atom): 0.812

Cell: 5.117 5.117 5.117 Å, 60.00 60.00 60.00°
Atoms (fractional coordinates):
Rb 0.000 0.000 0.000
Zn 0.250 0.250 0.250
Zn 0.750 0.750 0.750
Fe 0.500 0.500 0.500


Relative energy table, unit meV/atom: <one> 0; <two> 273


<one>
This record from the Alexandria database describes an optimized crystal structure of Fe4Re3. The functional is PBE-GGA.

Values from the calculation:
Spin magnetization (Bohr magnetons per cell): 8.67
Symmetry: I4/mmm
N(E_F) (states/eV per atom): 0.817

Cell: 10.697 10.697 10.697 Å, 164.21 164.21 22.41°
Atoms (fractional coordinates):
Fe 0.072 0.072 0.000
Fe 0.365 0.365 0.000
Fe 0.635 0.635 0.000
Fe 0.928 0.928 0.000
Re 0.209 0.209 0.000
Re 0.500 0.500 0.000
Re 0.791 0.791 0.000


<two>
This record from the Alexandria database describes an optimized crystal structure of Fe4Re3. The functional is PBE-GGA.

Values from the calculation:
Spin magnetization (Bohr magnetons per cell): 7.17
Symmetry: P6/mmm
N(E_F) (states/eV per atom): 1.264

Cell: 4.992 4.992 4.548 Å, 90.00 90.00 120.00°
Atoms (fractional coordinates):
Fe 0.000 0.000 0.237
Fe 0.000 0.000 0.763
Fe 0.333 0.667 0.000
Fe 0.667 0.333 0.000
Re 0.000 0.500 0.500
Re 0.500 0.000 0.500
Re 0.500 0.500 0.500


Relative energy table, unit meV/atom: <one> 0; <two> 286


<one>
This record from the Alexandria database describes an optimized crystal structure of Fe5Re4. The functional is PBE-GGA.

Values from the calculation:
Spin magnetization (Bohr magnetons per cell): 0.12
Symmetry: P6_3/mcm
N(E_F) (states/eV per atom): 0.984

Cell: 7.165 7.165 5.128 Å, 90.00 90.00 120.00°
Atoms (fractional coordinates):
Fe 0.000 0.335 0.250
Fe 0.000 0.665 0.750
Fe 0.333 0.667 0.000
Fe 0.333 0.667 0.500
Fe 0.335 0.000 0.250
Fe 0.335 0.335 0.750
Fe 0.665 0.000 0.750
Fe 0.665 0.665 0.250
Fe 0.667 0.333 0.000
Fe 0.667 0.333 0.500
Re 0.000 0.000 0.000
Re 0.000 0.000 0.500
Re 0.000 0.339 0.750
Re 0.000 0.661 0.250
Re 0.339 0.000 0.750
Re 0.339 0.339 0.250
Re 0.661 0.000 0.250
Re 0.661 0.661 0.750


<two>
This record from the Alexandria database describes an optimized crystal structure of Fe5Re4. The functional is PBE-GGA.

Values from the calculation:
Spin magnetization (Bohr magnetons per cell): 2.84
Symmetry: I4/mmm
N(E_F) (states/eV per atom): 1.181

Cell: 5.846 5.846 5.846 Å, 95.70 95.70 143.27°
Atoms (fractional coordinates):
Fe 0.000 0.000 0.000
Fe 0.339 0.339 0.678
Fe 0.339 0.661 0.000
Fe 0.661 0.339 0.000
Fe 0.661 0.661 0.322
Re 0.000 0.318 0.318
Re 0.000 0.682 0.682
Re 0.318 0.000 0.318
Re 0.682 0.000 0.682


Relative energy table, unit meV/atom: <one> 64; <two> 0